A relaxed Ca2Cu2Pt crystal, computed with PBE-GGA.

a b c (Å): 6.920 6.920 4.199
angles (deg): 90.00 90.00 90.00
Fractional coordinates of all 10 atoms:
Ca 0.184 0.316 0.000
Ca 0.316 0.816 0.000
Ca 0.684 0.184 0.000
Ca 0.816 0.684 0.000
Cu 0.124 0.624 0.500
Cu 0.376 0.124 0.500
Cu 0.624 0.876 0.500
Cu 0.876 0.376 0.500
Pt 0.000 0.000 0.500
Pt 0.500 0.500 0.500

Magnetic moment, μB/f.u.: 0.0
Calculated volume, Å³ per cell: 201
Excess energy over the best structure of this formula in the dataset, eV per atom: 0.111